(1)
Here is a relaxed structure of HfNbVRe from the Alexandria database. Energies are from PBE.

Results
Density of states at the Fermi level (states/eV/f.u.): 4.224
Calculated density (g/cm³): 12.43
ΔH_f (0 K) (meV/atom): -139
Calculated volume (Å³/atom): 16.98
Electronic total energy (eV per atom): -10.54
Symmetry: F-43m, No. 216
Total moment (μB per cell): 1.3

a b c (Å): 4.5800 4.5800 4.5800
angles (deg): 60.00 60.00 60.00
Atoms (fractional coordinates):
1 V 0.7500 0.7500 0.7500
2 Re 0.2500 0.2500 0.2500
3 Nb 0.0000 0.0000 0.0000
4 Hf 0.5000 0.5000 0.5000

(2)
Here is a relaxed structure of HfNbZnRe from the Alexandria database. Energies are from PBE.

Results
Density of states at the Fermi level (states/eV/f.u.): 0.917
Calculated density (g/cm³): 12.62
ΔH_f (0 K) (meV/atom): -173
Calculated volume (Å³/atom): 17.21
Electronic total energy (eV per atom): -8.61
Symmetry: F-43m, No. 216
Total moment (μB per cell): 0.0

a b c (Å): 4.6003 4.6003 4.6003
angles (deg): 60.00 60.00 60.00
Atoms (fractional coordinates):
1 Zn 0.7500 0.7500 0.7500
2 Re 0.2500 0.2500 0.2500
3 Hf 0.0000 0.0000 0.0000
4 Nb 0.5000 0.5000 0.5000

(3)
Here is a relaxed structure of Hf2Nb2Rh from the Alexandria database. Energies are from PBE.

Results
Density of states at the Fermi level (states/eV/f.u.): 5.008
Energy relative to the lowest polymorph listed for this composition (meV per atom): 0
Calculated density (g/cm³): 11.58
ΔH_f (0 K) (meV/atom): -414
Calculated volume (Å³/atom): 18.52
Electronic total energy (eV per atom): -9.89
Symmetry: I4/mmm, No. 139
Total moment (μB per cell): 0.0

a b c (Å): 3.3296 3.3296 8.6792
angles (deg): 101.06 101.06 90.00
Atoms (fractional coordinates):
1 Hf 0.5966 0.5966 0.1933
2 Hf 0.4034 0.4034 0.8067
3 Rh 0.0000 0.0000 0.0000
4 Nb 0.2042 0.2042 0.4084
5 Nb 0.7958 0.7958 0.5916

(4)
Here is a relaxed structure of Hf6NbRh from the Alexandria database. Energies are from PBE.

Results
Density of states at the Fermi level (states/eV/f.u.): 10.363
Calculated density (g/cm³): 10.87
ΔH_f (0 K) (meV/atom): 404
Calculated volume (Å³/atom): 24.19
Electronic total energy (eV per atom): -9.24
Symmetry: P-1, No. 2
Total moment (μB per cell): 0.0

a b c (Å): 5.8777 5.8900 7.2924
angles (deg): 66.10 66.41 59.99
Atoms (fractional coordinates):
1 Hf 0.9646 0.5655 0.2765
2 Hf 0.0354 0.4345 0.7235
3 Hf 0.4345 0.8054 0.7237
4 Hf 0.5655 0.1946 0.2763
5 Hf 0.8061 0.0333 0.7233
6 Hf 0.1939 0.9667 0.2767
7 Nb 0.5000 0.5000 0.5000
8 Rh 0.0000 0.0000 0.0000